Entry P
Here is a geometry-optimized KRbPd3 structure from the Alexandria database. Energies are from PBE-GGA.

Computed properties:
SG ... No. 166
Magnetic moment ... 0.00 μB/f.u.

Unit cell a=6.4201 b=6.4201 c=8.4017 alpha=67.54 beta=67.54 gamma=60.00
Element x y z (fractional)
Pd: 0.8434 0.8434 0.8920
Pd: 0.1566 0.1566 0.1080
Pd: 0.5788 0.1566 0.1080
Pd: 0.8434 0.4212 0.8920
Pd: 0.4212 0.8434 0.8920
Pd: 0.1566 0.5788 0.1080
K: 0.4168 0.4168 0.7496
K: 0.5832 0.5832 0.2504
Rb: 0.8525 0.8525 0.4424
Rb: 0.1475 0.1475 0.5576



Entry Q
Here is a geometry-optimized KRbPd3 structure from the Alexandria database. Energies are from PBE-GGA.

Computed properties:
SG ... No. 221
Magnetic moment ... 0.00 μB/f.u.

Unit cell a=5.4341 b=5.4341 c=5.4341 alpha=90.00 beta=90.00 gamma=90.00
Element x y z (fractional)
Pd: 0.0000 0.0000 0.5000
Pd: 0.0000 0.5000 0.0000
Pd: 0.5000 0.0000 0.0000
Rb: 0.0000 0.0000 0.0000
K: 0.5000 0.5000 0.5000



The winner here is entry P, beating the second structure by 775 meV per atom.



Entry P
Here is a geometry-optimized K2RbPd2 structure from the Alexandria database. Energies are from PBE-GGA.

Computed properties:
SG ... No. 127
Magnetic moment ... 0.00 μB/f.u.

Unit cell a=9.7214 b=9.7214 c=3.3252 alpha=90.00 beta=90.00 gamma=90.00
Element x y z (fractional)
Pd: 0.8275 0.6725 0.0000
Pd: 0.1725 0.3275 0.0000
Pd: 0.3275 0.8275 0.0000
Pd: 0.6725 0.1725 0.0000
K: 0.8745 0.3745 0.5000
K: 0.3745 0.1255 0.5000
K: 0.6255 0.8745 0.5000
K: 0.1255 0.6255 0.5000
Rb: 0.0000 0.0000 0.0000
Rb: 0.5000 0.5000 0.0000



Entry Q
Here is a geometry-optimized K2RbPd2 structure from the Alexandria database. Energies are from PBE-GGA.

Computed properties:
SG ... No. 139
Magnetic moment ... 0.00 μB/f.u.

Unit cell a=5.3222 b=5.3222 c=7.4236 alpha=68.99 beta=68.99 gamma=90.00
Element x y z (fractional)
K: 0.2500 0.7500 0.5000
K: 0.7500 0.2500 0.5000
Pd: 0.3972 0.3972 0.2055
Pd: 0.6028 0.6028 0.7945
Rb: 0.0000 0.0000 0.0000



The winner here is entry P, beating the second structure by 7 meV per atom.



Entry P
Here is a geometry-optimized KRbPd2 structure from the Alexandria database. Energies are from PBE-GGA.

Computed properties:
SG ... No. 122
Magnetic moment ... 0.00 μB/f.u.

Unit cell a=8.8407 b=8.8407 c=6.9322 alpha=50.38 beta=50.38 gamma=90.00
Element x y z (fractional)
Pd: 0.3750 0.3813 0.7500
Pd: 0.6187 0.1250 0.2500
Pd: 0.1313 0.6250 0.2500
Pd: 0.8750 0.8687 0.7500
Rb: 0.7500 0.2500 0.5000
Rb: 0.0000 0.0000 0.0000
K: 0.2500 0.7500 0.5000
K: 0.5000 0.5000 0.0000



Entry Q
Here is a geometry-optimized KRbPd2 structure from the Alexandria database. Energies are from PBE-GGA.

Computed properties:
SG ... No. 225
Magnetic moment ... 0.00 μB/f.u.

Unit cell a=5.4611 b=5.4611 c=5.4611 alpha=60.00 beta=60.00 gamma=60.00
Element x y z (fractional)
Rb: 0.5000 0.5000 0.5000
Pd: 0.2500 0.2500 0.2500
Pd: 0.7500 0.7500 0.7500
K: 0.0000 0.0000 0.0000



The winner here is entry Q, beating the second structure by 7 meV per atom.



Entry P
Here is a geometry-optimized KRb2Pd2 structure from the Alexandria database. Energies are from PBE-GGA.

Computed properties:
SG ... No. 127
Magnetic moment ... 0.00 μB/f.u.

Unit cell a=8.4208 b=8.4208 c=5.2260 alpha=90.00 beta=90.00 gamma=90.00
Element x y z (fractional)
Rb: 0.8356 0.3356 0.5000
Rb: 0.6644 0.8356 0.5000
Rb: 0.1644 0.6644 0.5000
Rb: 0.3356 0.1644 0.5000
K: 0.5000 0.5000 0.0000
K: 0.0000 0.0000 0.0000
Pd: 0.1116 0.3884 0.0000
Pd: 0.8884 0.6116 0.0000
Pd: 0.6116 0.1116 0.0000
Pd: 0.3884 0.8884 0.0000



Entry Q
Here is a geometry-optimized KRb2Pd2 structure from the Alexandria database. Energies are from PBE-GGA.

Computed properties:
SG ... No. 139
Magnetic moment ... 0.00 μB/f.u.

Unit cell a=5.4014 b=5.4014 c=7.6177 alpha=69.24 beta=69.24 gamma=90.00
Element x y z (fractional)
Rb: 0.2500 0.7500 0.5000
Rb: 0.7500 0.2500 0.5000
K: 0.0000 0.0000 0.0000
Pd: 0.5999 0.5999 0.8003
Pd: 0.4001 0.4001 0.1997



The winner here is entry P, beating the second structure by 82 meV per atom.



Entry P
Here is a geometry-optimized K4Rb2Pd structure from the Alexandria database. Energies are from PBE-GGA.

Computed properties:
SG ... No. 139
Magnetic moment ... 0.00 μB/f.u.

Unit cell a=6.3555 b=6.3555 c=12.9001 alpha=75.74 beta=75.74 gamma=90.00
Element x y z (fractional)
K: 0.5000 0.0000 0.0000
K: 0.1301 0.1301 0.7397
K: 0.8699 0.8699 0.2603
K: 0.0000 0.5000 0.0000
Rb: 0.3201 0.3201 0.3598
Rb: 0.6799 0.6799 0.6402
Pd: 0.0000 0.0000 0.0000



Entry Q
Here is a geometry-optimized K4Rb2Pd structure from the Alexandria database. Energies are from PBE-GGA.

Computed properties:
SG ... No. 12
Magnetic moment ... 0.00 μB/f.u.

Unit cell a=5.0340 b=7.8429 c=13.4454 alpha=118.57 beta=100.79 gamma=90.00
Element x y z (fractional)
K: 0.0897 0.4562 0.1794
K: 0.4376 0.0794 0.8751
K: 0.9103 0.5438 0.8206
K: 0.5624 0.9206 0.1249
Pd: 0.0000 0.0000 0.0000
Rb: 0.7716 0.7882 0.5432
Rb: 0.2284 0.2118 0.4568



The winner here is entry Q, beating the second structure by 11 meV per atom.



Entry P
Here is a geometry-optimized KRbSr2Pd structure from the Alexandria database. Energies are from PBE-GGA.

Computed properties:
SG ... No. 123
Magnetic moment ... 0.00 μB/f.u.

Unit cell a=6.0590 b=6.0590 c=7.0408 alpha=90.00 beta=90.00 gamma=90.00
Element x y z (fractional)
Pd: 0.0000 0.0000 0.0000
Rb: 0.0000 0.0000 0.5000
Sr: 0.0000 0.5000 0.0000
Sr: 0.5000 0.0000 0.0000
K: 0.5000 0.5000 0.5000



Entry Q
Here is a geometry-optimized KRbSr2Pd structure from the Alexandria database. Energies are from PBE-GGA.

Computed properties:
SG ... No. 123
Magnetic moment ... 0.00 μB/f.u.

Unit cell a=6.0614 b=6.0614 c=6.9375 alpha=90.00 beta=90.00 gamma=90.00
Element x y z (fractional)
Rb: 0.5000 0.5000 0.5000
Pd: 0.0000 0.0000 0.0000
Sr: 0.5000 0.0000 0.0000
Sr: 0.0000 0.5000 0.0000
K: 0.0000 0.0000 0.5000



The winner here is entry Q, beating the second structure by 6 meV per atom.



Entry P
Here is a geometry-optimized K2RbTlPd structure from the Alexandria database. Energies are from PBE-GGA.

Computed properties:
SG ... No. 123
Magnetic moment ... 0.00 μB/f.u.

Unit cell a=6.6710 b=6.6710 c=5.3234 alpha=90.00 beta=90.00 gamma=90.00
Element x y z (fractional)
K: 0.5000 0.0000 0.0000
K: 0.0000 0.5000 0.0000
Pd: 0.0000 0.0000 0.5000
Rb: 0.5000 0.5000 0.5000
Tl: 0.0000 0.0000 0.0000



Entry Q
Here is a geometry-optimized K2RbTlPd structure from the Alexandria database. Energies are from PBE-GGA.

Computed properties:
SG ... No. 123
Magnetic moment ... 0.00 μB/f.u.

Unit cell a=6.3761 b=6.3761 c=5.4310 alpha=90.00 beta=90.00 gamma=90.00
Element x y z (fractional)
Tl: 0.0000 0.0000 0.5000
K: 0.5000 0.0000 0.0000
K: 0.0000 0.5000 0.0000
Pd: 0.0000 0.0000 0.0000
Rb: 0.5000 0.5000 0.5000



The winner here is entry Q, beating the second structure by 147 meV per atom.



Entry P
Here is a geometry-optimized KRbTl2Pd structure from the Alexandria database. Energies are from PBE-GGA.

Computed properties:
SG ... No. 123
Magnetic moment ... 0.00 μB/f.u.

Unit cell a=5.4485 b=5.4485 c=6.1744 alpha=90.00 beta=90.00 gamma=90.00
Element x y z (fractional)
K: 0.0000 0.0000 0.5000
Tl: 0.5000 0.0000 0.0000
Tl: 0.0000 0.5000 0.0000
Pd: 0.0000 0.0000 0.0000
Rb: 0.5000 0.5000 0.5000



Entry Q
Here is a geometry-optimized KRbTl2Pd structure from the Alexandria database. Energies are from PBE-GGA.

Computed properties:
SG ... No. 123
Magnetic moment ... 0.00 μB/f.u.

Unit cell a=5.4594 b=5.4594 c=6.2898 alpha=90.00 beta=90.00 gamma=90.00
Element x y z (fractional)
Pd: 0.0000 0.0000 0.0000
K: 0.5000 0.5000 0.5000
Tl: 0.0000 0.5000 0.0000
Tl: 0.5000 0.0000 0.0000
Rb: 0.0000 0.0000 0.5000



The winner here is entry P, beating the second structure by 34 meV per atom.



Entry P
Here is a geometry-optimized KRePd structure from the Alexandria database. Energies are from PBE-GGA.

Computed properties:
SG ... No. 1
Magnetic moment ... 0.00 μB/f.u.

Unit cell a=3.0089 b=6.0621 c=8.7041 alpha=96.80 beta=89.82 gamma=75.56
Element x y z (fractional)
Pd: 0.1088 0.9375 0.0836
Pd: 0.9680 0.2250 0.7588
Re: 0.7930 0.5663 0.1386
Re: 0.4299 0.2957 0.0099
K: 0.4856 0.1812 0.4004
K: 0.7208 0.7339 0.7517



Entry Q
Here is a geometry-optimized KRePd structure from the Alexandria database. Energies are from PBE-GGA.

Computed properties:
SG ... No. 194
Magnetic moment ... 0.47 μB/f.u.

Unit cell a=4.1977 b=4.1977 c=11.1443 alpha=90.00 beta=90.00 gamma=120.00
Element x y z (fractional)
K: 0.0000 0.0000 0.0000
K: 0.0000 0.0000 0.5000
Re: 0.3333 0.6667 0.2500
Re: 0.6667 0.3333 0.7500
Pd: 0.3333 0.6667 0.7500
Pd: 0.6667 0.3333 0.2500



The winner here is entry P, beating the second structure by 742 meV per atom.



Entry P
Here is a geometry-optimized KRePd structure from the Alexandria database. Energies are from PBE-GGA.

Computed properties:
SG ... No. 1
Magnetic moment ... 0.00 μB/f.u.

Unit cell a=2.7614 b=6.4099 c=8.8571 alpha=95.89 beta=91.83 gamma=107.47
Element x y z (fractional)
Pd: 0.7651 0.2304 0.7431
Pd: 0.5764 0.9341 0.0892
Re: 0.3260 0.2736 0.9993
Re: 0.8339 0.5817 0.1551
K: 0.1881 0.1897 0.3919
K: 0.8385 0.7300 0.7643



Entry Q
Here is a geometry-optimized KRePd structure from the Alexandria database. Energies are from PBE-GGA.

Computed properties:
SG ... No. 1
Magnetic moment ... 0.00 μB/f.u.

Unit cell a=2.9291 b=4.7010 c=11.9306 alpha=92.58 beta=83.37 gamma=71.70
Element x y z (fractional)
Pd: 0.9690 0.7710 0.9703
Pd: 0.7529 0.2910 0.8789
Re: 0.4335 0.6708 0.1509
Re: 0.1863 0.2296 0.0807
K: 0.5922 0.7848 0.7032
K: 0.5723 0.1922 0.3590



Entry R
Here is a geometry-optimized KRePd structure from the Alexandria database. Energies are from PBE-GGA.

Computed properties:
SG ... No. 62
Magnetic moment ... 0.00 μB/f.u.

Unit cell a=9.4937 b=3.0880 c=8.5423 alpha=90.00 beta=90.00 gamma=90.00
Element x y z (fractional)
Re: 0.0901 0.7500 0.5306
Re: 0.4099 0.2500 0.0306
Re: 0.9099 0.2500 0.4694
Re: 0.5901 0.7500 0.9694
Pd: 0.7676 0.2500 0.1680
Pd: 0.2324 0.7500 0.8320
Pd: 0.7324 0.7500 0.6680
Pd: 0.2676 0.2500 0.3320
K: 0.0620 0.7500 0.1428
K: 0.5620 0.7500 0.3572
K: 0.4380 0.2500 0.6428
K: 0.9380 0.2500 0.8572



The winner here is entry P, beating the second structure by 16 meV per atom.



Entry P
Here is a geometry-optimized KRePd3 structure from the Alexandria database. Energies are from PBE-GGA.

Computed properties:
SG ... No. 221
Magnetic moment ... 4.41 μB/f.u.

Unit cell a=4.8471 b=4.8471 c=4.8471 alpha=90.00 beta=90.00 gamma=90.00
Element x y z (fractional)
Pd: 0.0000 0.5000 0.0000
Pd: 0.5000 0.0000 0.0000
Pd: 0.0000 0.0000 0.5000
K: 0.0000 0.0000 0.0000
Re: 0.5000 0.5000 0.5000



Entry Q
Here is a geometry-optimized KRePd3 structure from the Alexandria database. Energies are from PBE-GGA.

Computed properties:
SG ... No. 221
Magnetic moment ... 0.00 μB/f.u.

Unit cell a=4.9273 b=4.9273 c=4.9273 alpha=90.00 beta=90.00 gamma=90.00
Element x y z (fractional)
K: 0.5000 0.5000 0.5000
Pd: 0.5000 0.0000 0.0000
Pd: 0.0000 0.0000 0.5000
Pd: 0.0000 0.5000 0.0000
Re: 0.0000 0.0000 0.0000



The winner here is entry Q, beating the second structure by 1346 meV per atom.



Entry P
Here is a geometry-optimized KPd3Rh structure from the Alexandria database. Energies are from PBE-GGA.

Computed properties:
SG ... No. 221
Magnetic moment ... 1.72 μB/f.u.

Unit cell a=4.9500 b=4.9500 c=4.9500 alpha=90.00 beta=90.00 gamma=90.00
Element x y z (fractional)
Pd: 0.0000 0.5000 0.0000
Pd: 0.0000 0.0000 0.5000
Pd: 0.5000 0.0000 0.0000
K: 0.5000 0.5000 0.5000
Rh: 0.0000 0.0000 0.0000



Entry Q
Here is a geometry-optimized KPd3Rh structure from the Alexandria database. Energies are from PBE-GGA.

Computed properties:
SG ... No. 221
Magnetic moment ... 1.59 μB/f.u.

Unit cell a=4.8423 b=4.8423 c=4.8423 alpha=90.00 beta=90.00 gamma=90.00
Element x y z (fractional)
K: 0.0000 0.0000 0.0000
Rh: 0.5000 0.5000 0.5000
Pd: 0.0000 0.5000 0.0000
Pd: 0.0000 0.0000 0.5000
Pd: 0.5000 0.0000 0.0000



The winner here is entry P, beating the second structure by 1146 meV per atom.



Entry P
Here is a geometry-optimized K2PdRh structure from the Alexandria database. Energies are from PBE-GGA.

Computed properties:
SG ... No. 225
Magnetic moment ... 0.33 μB/f.u.

Unit cell a=5.2328 b=5.2328 c=5.2328 alpha=60.00 beta=60.00 gamma=60.00
Element x y z (fractional)
K: 0.7500 0.7500 0.7500
K: 0.2500 0.2500 0.2500
Rh: 0.0000 0.0000 0.0000
Pd: 0.5000 0.5000 0.5000



Entry Q
Here is a geometry-optimized K2PdRh structure from the Alexandria database. Energies are from PBE-GGA.

Computed properties:
SG ... No. 122
Magnetic moment ... 0.00 μB/f.u.

Unit cell a=11.9277 b=11.9277 c=8.7712 alpha=47.16 beta=47.16 gamma=90.00
Element x y z (fractional)
K: 0.8111 0.1250 0.2500
K: 0.8750 0.0611 0.7500
K: 0.9389 0.6250 0.2500
K: 0.3750 0.1889 0.7500
Rh: 0.2500 0.7500 0.5000
Rh: 0.5000 0.5000 0.0000
Pd: 0.0000 0.0000 0.0000
Pd: 0.7500 0.2500 0.5000



The winner here is entry Q, beating the second structure by 192 meV per atom.